{"formula": "SmHoAgRh", "functional": "PBE", "state": "relaxed", "delta_e_f_mev_per_atom": -558, "relative_energy_mev_per_atom": 0.0, "space_group": "No. 99", "energy_ev_per_atom": -5.433, "cell": [[3.5345, 0.0000, 0.0000], [0.0000, 3.5345, 0.0000], [0.0000, 0.0000, 7.2403]], "species": ["Sm", "Ho", "Ag", "Rh"], "fractional_positions": [[0.0000, 0.0000, 0.0000], [0.0000, 0.0000, 0.5413], [0.5000, 0.5000, 0.2842], [0.5000, 0.5000, 0.7610]]}